(1)
Density functional theory data (GGA-PBE) for a relaxed structure of FeCo2Br.

Geometry as CIF:
```
data_FeCo2Br
_cell_length_a 7.579
_cell_length_b 7.579
_cell_length_c 7.579
_cell_angle_alpha 23.17
_cell_angle_beta 23.17
_cell_angle_gamma 23.17
_space_group_name_H-M_alt 'P 1'
_space_group_IT_number 1
_space_group_name_Hall 'P 1'
loop_
_atom_site_label
_atom_site_type_symbol
_atom_site_fract_x
_atom_site_fract_y
_atom_site_fract_z
_atom_site_occupancy
Fe1 Fe 0.000 0.000 0.000 1
Co1 Co 0.483 0.483 0.483 1
Co2 Co 0.742 0.742 0.742 1
Br1 Br 0.244 0.244 0.244 1
```

- Magnetization: 6.56 μB/cell
- Uncorrected formation energy: 572 meV/atom
- Theoretical density: 7.1 g/cm3

(2)
Density functional theory data (GGA-PBE) for a relaxed structure of FeCo2Br.

Geometry as CIF:
```
data_FeCo2Br
_cell_length_a 4.208
_cell_length_b 4.208
_cell_length_c 3.077
_cell_angle_alpha 90.00
_cell_angle_beta 90.00
_cell_angle_gamma 90.08
_space_group_name_H-M_alt 'P 1'
_space_group_IT_number 1
_space_group_name_Hall 'P 1'
loop_
_atom_site_label
_atom_site_type_symbol
_atom_site_fract_x
_atom_site_fract_y
_atom_site_fract_z
_atom_site_occupancy
Fe1 Fe 0.000 0.000 0.000 1
Co1 Co 0.000 0.500 0.500 1
Co2 Co 0.500 0.000 0.500 1
Br1 Br 0.500 0.500 0.000 1
```

- Magnetization: 6.44 μB/cell
- Uncorrected formation energy: 676 meV/atom
- Theoretical density: 7.7 g/cm3

(3)
Density functional theory data (GGA-PBE) for a relaxed structure of Fe2CoBr.

Geometry as CIF:
```
data_Fe2CoBr
_cell_length_a 7.487
_cell_length_b 7.487
_cell_length_c 7.487
_cell_angle_alpha 24.13
_cell_angle_beta 24.13
_cell_angle_gamma 24.13
_space_group_name_H-M_alt 'P 1'
_space_group_IT_number 1
_space_group_name_Hall 'P 1'
loop_
_atom_site_label
_atom_site_type_symbol
_atom_site_fract_x
_atom_site_fract_y
_atom_site_fract_z
_atom_site_occupancy
Fe1 Fe 0.239 0.239 0.239 1
Fe2 Fe 0.761 0.761 0.761 1
Co1 Co 0.500 0.500 0.500 1
Br1 Br 0.000 0.000 0.000 1
```

- Magnetization: 7.77 μB/cell
- Polymorph energy (0 for the lowest one): 4.12 kcal/mol of atoms
- Uncorrected formation energy: 519 meV/atom
- Theoretical density: 6.7 g/cm3

(4)
Density functional theory data (GGA-PBE) for a relaxed structure of Fe2CoHgBr.

Geometry as CIF:
```
data_Fe2CoHgBr
_cell_length_a 4.350
_cell_length_b 4.350
_cell_length_c 5.912
_cell_angle_alpha 90.00
_cell_angle_beta 90.00
_cell_angle_gamma 90.00
_space_group_name_H-M_alt 'P 1'
_space_group_IT_number 1
_space_group_name_Hall 'P 1'
loop_
_atom_site_label
_atom_site_type_symbol
_atom_site_fract_x
_atom_site_fract_y
_atom_site_fract_z
_atom_site_occupancy
Fe1 Fe 0.000 0.500 0.000 1
Fe2 Fe 0.500 0.000 0.000 1
Co1 Co 0.000 0.000 0.500 1
Hg1 Hg 0.500 0.500 0.500 1
Br1 Br 0.500 0.500 0.000 1
```

- Magnetization: 6.88 μB/cell
- Uncorrected formation energy: 1468 meV/atom
- Theoretical density: 6.7 g/cm3

(5)
Density functional theory data (GGA-PBE) for a relaxed structure of Fe2CoI6Br2.

Geometry as CIF:
```
data_Fe2CoI6Br2
_cell_length_a 7.107
_cell_length_b 7.107
_cell_length_c 9.974
_cell_angle_alpha 90.00
_cell_angle_beta 90.00
_cell_angle_gamma 120.00
_space_group_name_H-M_alt 'P 1'
_space_group_IT_number 1
_space_group_name_Hall 'P 1'
loop_
_atom_site_label
_atom_site_type_symbol
_atom_site_fract_x
_atom_site_fract_y
_atom_site_fract_z
_atom_site_occupancy
Fe1 Fe 0.333 0.667 0.256 1
Fe2 Fe 0.667 0.333 0.744 1
Co1 Co 0.000 0.000 0.500 1
I1 I 0.000 0.314 0.661 1
I2 I 0.000 0.686 0.339 1
I3 I 0.314 0.000 0.661 1
I4 I 0.314 0.314 0.339 1
I5 I 0.686 0.000 0.339 1
I6 I 0.686 0.686 0.661 1
Br1 Br 0.333 0.667 0.027 1
Br2 Br 0.667 0.333 0.973 1
```

- Magnetization: 7.03 μB/cell
- Uncorrected formation energy: -162 meV/atom
- Theoretical density: 4.2 g/cm3

(6)
Density functional theory data (GGA-PBE) for a relaxed structure of InFeCo2Br.

Geometry as CIF:
```
data_InFeCo2Br
_cell_length_a 4.838
_cell_length_b 4.838
_cell_length_c 5.786
_cell_angle_alpha 90.00
_cell_angle_beta 90.00
_cell_angle_gamma 90.00
_space_group_name_H-M_alt 'P 1'
_space_group_IT_number 1
_space_group_name_Hall 'P 1'
loop_
_atom_site_label
_atom_site_type_symbol
_atom_site_fract_x
_atom_site_fract_y
_atom_site_fract_z
_atom_site_occupancy
In1 In 0.000 0.000 0.000 1
Fe1 Fe 0.500 0.500 0.500 1
Co1 Co 0.000 0.500 0.000 1
Co2 Co 0.500 0.000 0.000 1
Br1 Br 0.000 0.000 0.500 1
```

- Magnetization: 0.31 μB/cell
- Uncorrected formation energy: 1695 meV/atom
- Theoretical density: 4.5 g/cm3